A plane-wave DFT calculation with PBE was carried out for NaTbGe2 after structural relaxation.

- Size of the total moment: 0.0 μB per formula unit
- Density of states at the Fermi level: 1.17 states/eV per cell
- ΔH_f (0 K): -0.380 eV/atom
- Calculated density: 6.3 g/cm3

a b c (Å): 4.501 4.501 4.229
angles (deg): 90.00 90.00 90.00
Space group P4/mmm (No. 123)
Symmetry-distinct sites (fractional):
1 Na 0.000 0.000 0.000
2 Tb 0.500 0.500 0.000
3 Ge 0.000 0.500 0.500



A plane-wave DFT calculation with PBE was carried out for CaP2WCl after structural relaxation.

- Size of the total moment: 0.0 μB per formula unit
- Density of states at the Fermi level: 3.22 states/eV per cell
- Uncorrected formation energy: -1.59 eV/f.u.
- Calculated density: 4.8 g/cm3

a b c (Å): 4.691 4.691 5.062
angles (deg): 90.00 90.00 90.00
Space group P4/mmm (No. 123)
Symmetry-distinct sites (fractional):
1 Ca 0.000 0.000 0.000
2 P 0.000 0.500 0.500
3 W 0.500 0.500 0.500
4 Cl 0.500 0.500 0.000



A plane-wave DFT calculation with PBE was carried out for BPRhCl after structural relaxation.

- Size of the total moment: 0.0 μB per formula unit
- Density of states at the Fermi level: 2.93 states/eV per cell
- Uncorrected formation energy: -0.32 eV/f.u.
- Calculated density: 4.4 g/cm3

a b c (Å): 11.412 3.028 3.984
angles (deg): 90.00 102.04 90.00
Space group Cm (No. 8)
Symmetry-distinct sites (fractional):
1 B 0.000 0.000 0.000
2 P 0.464 0.000 0.676
3 Rh 0.367 0.000 0.122
4 Cl 0.151 0.000 0.277



A plane-wave DFT calculation with PBE was carried out for BaSnO3 after structural relaxation.

- Size of the total moment: 0.0 μB per formula unit
- Density of states at the Fermi level: 0.00 states/eV per cell
- Uncorrected formation energy: -9.99 eV/f.u.
- Calculated density: 6.0 g/cm3

a b c (Å): 4.732 5.827 6.149
angles (deg): 90.00 96.91 90.00
Space group P2_1/m (No. 11)
Symmetry-distinct sites (fractional):
1 Ba 0.176 0.250 0.401
2 Sn 0.419 0.750 0.080
3 O 0.269 0.505 0.851
4 O 0.281 0.750 0.372